Model one:
A crystal of TlCd2Hg2 relaxed with PBEsol. Source: the Alexandria database, functional SCAN.

a = 4.254 Å, b = 4.254 Å, c = 13.736 Å
α = 90.00°, β = 90.00°, γ = 90.00°
Space group I4/mmm (No. 139)
Unique sites:
Tl  0.000  0.000  0.000 (multiplicity 2)
Cd  0.000  0.500  0.250 (multiplicity 4)
Hg  0.000  0.000  0.398 (multiplicity 4)

***

Model two:
A crystal of TlCd2Hg2 relaxed with PBEsol. Source: the Alexandria database, functional SCAN.

a = 8.674 Å, b = 8.674 Å, c = 3.147 Å
α = 90.00°, β = 90.00°, γ = 90.00°
Space group P4/mbm (No. 127)
Unique sites:
Tl  0.000  0.000  0.000 (multiplicity 2)
Cd  0.141  0.359  0.500 (multiplicity 4)
Hg  0.156  0.656  0.000 (multiplicity 4)

***

The computed energies, referenced to the most stable structure and given in meV/atom, are model one 7; model two 0.

***

Model one:
A crystal of Tl2CdHg relaxed with PBEsol. Source: the Alexandria database, functional SCAN.

a = 3.361 Å, b = 4.353 Å, c = 6.928 Å
α = 90.00°, β = 90.00°, γ = 90.00°
Space group Pmm2 (No. 25)
Unique sites:
Tl  0.000  0.000  0.000 (multiplicity 1)
Tl  0.500  0.500  0.274 (multiplicity 1)
Cd  0.000  0.000  0.528 (multiplicity 1)
Hg  0.500  0.500  0.746 (multiplicity 1)

***

Model two:
A crystal of Tl2CdHg relaxed with PBEsol. Source: the Alexandria database, functional SCAN.

a = 3.310 Å, b = 3.310 Å, c = 9.146 Å
α = 90.00°, β = 90.00°, γ = 90.00°
Space group P4mm (No. 99)
Unique sites:
Tl  0.000  0.000  0.000 (multiplicity 1)
Tl  0.500  0.500  0.287 (multiplicity 1)
Cd  0.000  0.000  0.534 (multiplicity 1)
Hg  0.500  0.500  0.748 (multiplicity 1)

***

The computed energies, referenced to the most stable structure and given in meV/atom, are model one 19; model two 0.

***

Model one:
A crystal of Tl2CdHg relaxed with PBEsol. Source: the Alexandria database, functional SCAN.

a = 7.427 Å, b = 7.427 Å, c = 7.427 Å
α = 90.00°, β = 90.00°, γ = 90.00°
Space group Fm-3m (No. 225)
Unique sites:
Tl  0.250  0.250  0.250 (multiplicity 8)
Cd  0.000  0.000  0.000 (multiplicity 4)
Hg  0.000  0.000  0.500 (multiplicity 4)

***

Model two:
A crystal of Tl2CdHg relaxed with PBEsol. Source: the Alexandria database, functional SCAN.

a = 3.402 Å, b = 4.810 Å, c = 6.423 Å
α = 90.00°, β = 105.05°, γ = 90.00°
Space group Pm (No. 6)
Unique sites:
Tl  0.000  0.000  0.000 (multiplicity 1)
Tl  0.363  0.500  0.685 (multiplicity 1)
Cd  0.591  0.500  0.204 (multiplicity 1)
Hg  0.775  0.000  0.479 (multiplicity 1)

***

Model three:
A crystal of Tl2CdHg relaxed with PBEsol. Source: the Alexandria database, functional SCAN.

a = 3.715 Å, b = 3.715 Å, c = 7.429 Å
α = 90.00°, β = 90.00°, γ = 90.00°
Space group P4/mmm (No. 123)
Unique sites:
Tl  0.000  0.000  0.250 (multiplicity 2)
Cd  0.500  0.500  0.000 (multiplicity 1)
Hg  0.500  0.500  0.500 (multiplicity 1)

***

The computed energies, referenced to the most stable structure and given in meV/atom, are model one 21; model two 0; model three 16.

***

Model one:
A crystal of Tl2CdHg relaxed with PBEsol. Source: the Alexandria database, functional SCAN.

a = 4.641 Å, b = 4.641 Å, c = 9.360 Å
α = 90.00°, β = 90.00°, γ = 90.00°
Space group I-4m2 (No. 119)
Unique sites:
Tl  0.000  0.000  0.000 (multiplicity 2)
Tl  0.000  0.500  0.250 (multiplicity 2)
Cd  0.000  0.000  0.500 (multiplicity 2)
Hg  0.000  0.500  0.750 (multiplicity 2)

***

Model two:
A crystal of Tl2CdHg relaxed with PBEsol. Source: the Alexandria database, functional SCAN.

a = 4.400 Å, b = 4.400 Å, c = 21.933 Å
α = 90.00°, β = 90.00°, γ = 90.00°
Space group I-42d (No. 122)
Unique sites:
Tl  0.249  0.250  0.125 (multiplicity 8)
Cd  0.000  0.000  0.000 (multiplicity 4)
Hg  0.000  0.000  0.500 (multiplicity 4)

***

Model three:
A crystal of Tl2CdHg relaxed with PBEsol. Source: the Alexandria database, functional SCAN.

a = 11.540 Å, b = 3.344 Å, c = 5.555 Å
α = 90.00°, β = 108.78°, γ = 90.00°
Space group Cm (No. 8)
Unique sites:
Tl  0.000  0.000  0.000 (multiplicity 2)
Tl  0.223  0.000  0.678 (multiplicity 2)
Cd  0.473  0.000  0.483 (multiplicity 2)
Hg  0.254  0.500  0.197 (multiplicity 2)

***

The computed energies, referenced to the most stable structure and given in meV/atom, are model one 23; model two 37; model three 0.

***

Model one:
A crystal of Tl2CdHg relaxed with PBEsol. Source: the Alexandria database, functional SCAN.

a = 3.3090 Å, b = 3.3090 Å, c = 32.1345 Å
α = 90.00°, β = 90.00°, γ = 120.00°
Space group R-3m (No. 166, hexagonal axes)
Unique sites:
Tl  0.0000  0.0000  0.2495 (multiplicity 6)
Cd  0.0000  0.0000  0.5000 (multiplicity 3)
Hg  0.0000  0.0000  0.0000 (multiplicity 3)

***

Model two:
A crystal of Tl2CdHg relaxed with PBEsol. Source: the Alexandria database, functional SCAN.

a = 7.412 Å, b = 7.412 Å, c = 7.412 Å
α = 90.00°, β = 90.00°, γ = 90.00°
Space group F-43m (No. 216)
Unique sites:
Tl  0.000  0.000  0.000 (multiplicity 4)
Tl  0.250  0.250  0.250 (multiplicity 4)
Cd  0.000  0.000  0.500 (multiplicity 4)
Hg  0.250  0.250  0.750 (multiplicity 4)

***

The computed energies, referenced to the most stable structure and given in meV/atom, are model one 0; model two 16.

***

Model one:
A crystal of Tl2CdHg relaxed with PBEsol. Source: the Alexandria database, functional SCAN.

a = 6.359 Å, b = 10.412 Å, c = 3.251 Å
α = 90.00°, β = 108.47°, γ = 90.00°
Space group C2/m (No. 12)
Unique sites:
Tl  0.250  0.250  0.000 (multiplicity 4)
Cd  0.000  0.000  0.500 (multiplicity 2)
Hg  0.000  0.500  0.500 (multiplicity 2)

***

Model two:
A crystal of Tl2CdHg relaxed with PBEsol. Source: the Alexandria database, functional SCAN.

a = 3.592 Å, b = 5.397 Å, c = 10.527 Å
α = 90.00°, β = 90.00°, γ = 90.00°
Space group Imm2 (No. 44)
Unique sites:
Tl  0.000  0.000  0.000 (multiplicity 2)
Tl  0.000  0.500  0.226 (multiplicity 2)
Cd  0.000  0.000  0.478 (multiplicity 2)
Hg  0.000  0.500  0.754 (multiplicity 2)

***

The computed energies, referenced to the most stable structure and given in meV/atom, are model one 25; model two 0.

***

Model one:
A crystal of TlCdHg relaxed with PBEsol. Source: the Alexandria database, functional SCAN.

a = 4.735 Å, b = 4.713 Å, c = 6.950 Å
α = 90.00°, β = 109.71°, γ = 90.00°
Space group Cm (No. 8)
Unique sites:
Tl  0.000  0.000  0.000 (multiplicity 2)
Cd  0.175  0.500  0.350 (multiplicity 2)
Hg  0.322  0.000  0.645 (multiplicity 2)

***

Model two:
A crystal of TlCdHg relaxed with PBEsol. Source: the Alexandria database, functional SCAN.

a = 4.9039 Å, b = 4.9039 Å, c = 3.5814 Å
α = 90.00°, β = 90.00°, γ = 120.00°
Space group P3m1 (No. 156)
Unique sites:
Tl  0.0000  0.0000  0.0000 (multiplicity 1)
Cd  0.3333  0.6667  0.4200 (multiplicity 1)
Hg  0.6667  0.3333  0.5810 (multiplicity 1)

***

The computed energies, referenced to the most stable structure and given in meV/atom, are model one 0; model two 13.

***

Model one:
A crystal of ZnCd2Hg relaxed with PBEsol. Source: the Alexandria database, functional SCAN.

a = 4.253 Å, b = 4.253 Å, c = 8.667 Å
α = 90.00°, β = 90.00°, γ = 90.00°
Space group I-4m2 (No. 119)
Unique sites:
Zn  0.000  0.000  0.000 (multiplicity 2)
Cd  0.000  0.000  0.500 (multiplicity 2)
Cd  0.000  0.500  0.250 (multiplicity 2)
Hg  0.000  0.500  0.750 (multiplicity 2)

***

Model two:
A crystal of ZnCd2Hg relaxed with PBEsol. Source: the Alexandria database, functional SCAN.

a = 9.291 Å, b = 3.114 Å, c = 5.600 Å
α = 90.00°, β = 101.92°, γ = 90.00°
Space group C2/m (No. 12)
Unique sites:
Zn  0.000  0.000  0.000 (multiplicity 2)
Cd  0.242  0.500  0.232 (multiplicity 4)
Hg  0.000  0.500  0.500 (multiplicity 2)

***

The computed energies, referenced to the most stable structure and given in meV/atom, are model one 18; model two 0.

***

Model one:
A crystal of ZnCd2Hg relaxed with PBEsol. Source: the Alexandria database, functional SCAN.

a = 5.929 Å, b = 8.490 Å, c = 3.138 Å
α = 90.00°, β = 90.00°, γ = 90.00°
Space group Cmmm (No. 65)
Unique sites:
Zn  0.000  0.000  0.000 (multiplicity 2)
Cd  0.250  0.250  0.500 (multiplicity 4)
Hg  0.000  0.500  0.000 (multiplicity 2)

***

Model two:
A crystal of ZnCd2Hg relaxed with PBEsol. Source: the Alexandria database, functional SCAN.

a = 4.199 Å, b = 4.199 Å, c = 19.320 Å
α = 90.00°, β = 90.00°, γ = 90.00°
Space group I-42d (No. 122)
Unique sites:
Zn  0.000  0.000  0.000 (multiplicity 4)
Cd  0.237  0.250  0.125 (multiplicity 8)
Hg  0.000  0.000  0.500 (multiplicity 4)

***

The computed energies, referenced to the most stable structure and given in meV/atom, are model one 0; model two 6.

***

Model one:
A crystal of ZnCd2Hg relaxed with PBEsol. Source: the Alexandria database, functional SCAN.

a = 3.043 Å, b = 3.043 Å, c = 8.454 Å
α = 90.00°, β = 90.00°, γ = 90.00°
Space group P4mm (No. 99)
Unique sites:
Zn  0.000  0.000  0.000 (multiplicity 1)
Cd  0.000  0.000  0.495 (multiplicity 1)
Cd  0.500  0.500  0.228 (multiplicity 1)
Hg  0.500  0.500  0.767 (multiplicity 1)

***

Model two:
A crystal of ZnCd2Hg relaxed with PBEsol. Source: the Alexandria database, functional SCAN.

a = 2.846 Å, b = 5.297 Å, c = 10.629 Å
α = 90.00°, β = 90.00°, γ = 90.00°
Space group Imm2 (No. 44)
Unique sites:
Zn  0.000  0.000  0.000 (multiplicity 2)
Cd  0.000  0.000  0.496 (multiplicity 2)
Cd  0.000  0.500  0.729 (multiplicity 2)
Hg  0.000  0.500  0.267 (multiplicity 2)

***

The computed energies, referenced to the most stable structure and given in meV/atom, are model one 12; model two 0.

***

Model one:
A crystal of ZnCdHg2 relaxed with PBEsol. Source: the Alexandria database, functional SCAN.

a = 5.401 Å, b = 3.361 Å, c = 9.115 Å
α = 90.00°, β = 100.43°, γ = 90.00°
Space group Cm (No. 8)
Unique sites:
Zn  0.000  0.000  0.000 (multiplicity 2)
Cd  0.236  0.500  0.232 (multiplicity 2)
Hg  0.264  0.000  0.770 (multiplicity 2)
Hg  0.494  0.000  0.498 (multiplicity 2)

***

Model two:
A crystal of ZnCdHg2 relaxed with PBEsol. Source: the Alexandria database, functional SCAN.

a = 3.078 Å, b = 3.078 Å, c = 8.417 Å
α = 90.00°, β = 90.00°, γ = 90.00°
Space group P4/mmm (No. 123)
Unique sites:
Zn  0.000  0.000  0.000 (multiplicity 1)
Cd  0.000  0.000  0.500 (multiplicity 1)
Hg  0.500  0.500  0.230 (multiplicity 2)

***

The computed energies, referenced to the most stable structure and given in meV/atom, are model one 0; model two 16.

***

Model one:
A crystal of ZnCdHg2 relaxed with PBEsol. Source: the Alexandria database, functional SCAN.

a = 4.320 Å, b = 4.320 Å, c = 18.784 Å
α = 90.00°, β = 90.00°, γ = 90.00°
Space group I-42d (No. 122)
Unique sites:
Zn  0.000  0.000  0.000 (multiplicity 4)
Cd  0.000  0.000  0.500 (multiplicity 4)
Hg  0.235  0.250  0.125 (multiplicity 8)

***

Model two:
A crystal of ZnCdHg2 relaxed with PBEsol. Source: the Alexandria database, functional SCAN.

a = 2.900 Å, b = 4.650 Å, c = 12.368 Å
α = 90.00°, β = 90.00°, γ = 90.00°
Space group Imm2 (No. 44)
Unique sites:
Zn  0.000  0.000  0.000 (multiplicity 2)
Cd  0.000  0.500  0.700 (multiplicity 2)
Hg  0.000  0.000  0.497 (multiplicity 2)
Hg  0.000  0.500  0.296 (multiplicity 2)

***

The computed energies, referenced to the most stable structure and given in meV/atom, are model one 38; model two 0.